# 1
The following is a DFT calculation (PBE-GGA) of an optimized crystal structure of AlSICl2.

Cell: 4.5575 4.5575 5.4257 Å, 90.00 90.00 90.00°
With the nearest neighbours (Å) after each atom.
Sites, in units of the cell vectors:
1 Al 0.0000 0.0000 0.0000  4 Cl 2.28
2 S 0.0000 0.0000 0.5000  2 Al 2.71
3 I 0.5000 0.5000 0.5000  4 S 3.22, 8 Cl 3.54
4 Cl 0.0000 0.5000 0.0000  2 Al 2.28
5 Cl 0.5000 0.0000 0.0000  2 Al 2.28

Values from the calculation:
Crystal system: tetragonal
Mass density (g/cm3): 3.78
Energy above the lowest structure with this stoichiometry (meV/atom): 0

---

# 2
The following is a DFT calculation (PBE-GGA) of an optimized crystal structure of AlS2ICl.

Cell: 5.1503 5.1503 5.4905 Å, 90.00 90.00 90.00°
With the nearest neighbours (Å) after each atom.
Sites, in units of the cell vectors:
1 Al 0.0000 0.0000 0.0000  4 Cl 3.64, 8 S 3.76
2 S 0.0000 0.5000 0.5000  2 I 2.58
3 S 0.5000 0.0000 0.5000  2 I 2.58
4 I 0.5000 0.5000 0.5000  4 S 2.58, 2 Cl 2.75
5 Cl 0.5000 0.5000 0.0000  2 I 2.75

Values from the calculation:
Crystal system: tetragonal
Mass density (g/cm3): 2.89
Energy above the lowest structure with this stoichiometry (meV/atom): 674

---

# 3
The following is a DFT calculation (PBE-GGA) of an optimized crystal structure of Al2SbICl.

Cell: 4.9868 4.9868 6.6296 Å, 90.00 90.00 90.00°
With the nearest neighbours (Å) after each atom.
Sites, in units of the cell vectors:
1 Al 0.0000 0.5000 0.0000  2 Cl 2.49
2 Al 0.5000 0.0000 0.0000  2 Cl 2.49
3 Sb 0.0000 0.0000 0.5000  4 I 3.53
4 I 0.5000 0.5000 0.5000  2 Cl 3.31, 4 Sb 3.53
5 Cl 0.5000 0.5000 0.0000  4 Al 2.49

Values from the calculation:
Crystal system: tetragonal
Mass density (g/cm3): 3.41

---

# 4
The following is a DFT calculation (PBE-GGA) of an optimized crystal structure of ScAlI2Cl.

Cell: 6.7297 6.7297 4.6286 Å, 90.00 90.00 90.00°
With the nearest neighbours (Å) after each atom.
Sites, in units of the cell vectors:
1 Sc 0.0000 0.0000 0.0000  2 Cl 2.31
2 Al 0.5000 0.5000 0.0000  8 I 4.08
3 I 0.0000 0.5000 0.5000  2 Cl 3.36
4 I 0.5000 0.0000 0.5000  2 Cl 3.36
5 Cl 0.0000 0.0000 0.5000  2 Sc 2.31

Values from the calculation:
Crystal system: tetragonal
Mass density (g/cm3): 2.86

---

# 5
The following is a DFT calculation (PBE-GGA) of an optimized crystal structure of SrAlICl2.

Cell: 5.1957 5.1957 5.9450 Å, 90.00 90.00 90.00°
With the nearest neighbours (Å) after each atom.
Sites, in units of the cell vectors:
1 Sr 0.0000 0.0000 0.0000  4 I 3.67, 8 Cl 3.95
2 Al 0.5000 0.5000 0.5000  4 Cl 2.60
3 I 0.5000 0.5000 0.0000  2 Al 2.97
4 Cl 0.0000 0.5000 0.5000  2 Al 2.60
5 Cl 0.5000 0.0000 0.5000  2 Al 2.60

Values from the calculation:
Crystal system: tetragonal
Mass density (g/cm3): 3.23

---

# 6
The following is a DFT calculation (PBE-GGA) of an optimized crystal structure of AlTe2ICl.

Cell: 5.3681 5.3681 5.4243 Å, 90.00 90.00 90.00°
With the nearest neighbours (Å) after each atom.
Sites, in units of the cell vectors:
1 Al 0.0000 0.0000 0.0000  4 Te 2.68, 2 I 2.71
2 Te 0.0000 0.5000 0.0000  2 Al 2.68
3 Te 0.5000 0.0000 0.0000  2 Al 2.68
4 I 0.0000 0.0000 0.5000  2 Al 2.71
5 Cl 0.5000 0.5000 0.5000  4 I 3.80, 8 Te 3.82

Values from the calculation:
Crystal system: tetragonal
Mass density (g/cm3): 4.72
Energy above the lowest structure with this stoichiometry (meV/atom): 0

---

# 7
The following is a DFT calculation (PBE-GGA) of an optimized crystal structure of AlTe2ICl.

Cell: 5.2320 5.2320 7.4477 Å, 90.00 90.00 90.00°
With the nearest neighbours (Å) after each atom.
Sites, in units of the cell vectors:
1 Al 0.0000 0.0000 0.0000  4 I 3.70
2 Te 0.0000 0.5000 0.5000  2 Cl 2.62
3 Te 0.5000 0.0000 0.5000  2 Cl 2.62
4 I 0.5000 0.5000 0.0000  4 Al 3.70, 2 Cl 3.72
5 Cl 0.5000 0.5000 0.5000  4 Te 2.62

Values from the calculation:
Crystal system: tetragonal
Mass density (g/cm3): 3.62
Energy above the lowest structure with this stoichiometry (meV/atom): 405

---

# 8
The following is a DFT calculation (PBE-GGA) of an optimized crystal structure of AlV2ICl.

Cell: 5.2156 5.2156 6.3958 Å, 90.00 90.00 90.00°
With the nearest neighbours (Å) after each atom.
Sites, in units of the cell vectors:
1 Al 0.0000 0.0000 0.0000  2 I 3.20
2 V 0.0000 0.5000 0.5000  2 I 2.61
3 V 0.5000 0.0000 0.5000  2 I 2.61
4 I 0.0000 0.0000 0.5000  4 V 2.61
5 Cl 0.5000 0.5000 0.0000  4 Al 3.69, 8 V 4.13

Values from the calculation:
Crystal system: tetragonal
Mass density (g/cm3): 2.78

---

# 9
The following is a DFT calculation (PBE-GGA) of an optimized crystal structure of Al2In2Cl7.

Cell: 8.1706 8.1706 15.1494 Å, 100.16 100.16 107.01°
With the nearest neighbours (Å) after each atom.
Sites, in units of the cell vectors:
1 Al 0.0488 0.5515 0.7451  4 Cl 2.12-2.29
2 Al 0.4485 0.9512 0.7549  4 Cl 2.12-2.29
3 Al 0.5515 0.0488 0.2451  4 Cl 2.12-2.29
4 Al 0.9512 0.4485 0.2549  4 Cl 2.12-2.29
5 In 0.3165 0.3211 0.9737  3 Cl 3.14-3.42, 1 In 3.37
6 In 0.3211 0.3165 0.4737  3 Cl 3.14-3.42, 1 In 3.37
7 In 0.6789 0.6835 0.5263  3 Cl 3.14-3.42, 1 In 3.37
8 In 0.6835 0.6789 0.0263  3 Cl 3.14-3.42, 1 In 3.37
9 Cl 0.0775 0.5405 0.8866  1 Al 2.14
10 Cl 0.1533 0.8467 0.7500  2 Al 2.29
11 Cl 0.1933 0.4205 0.6733  1 Al 2.12
12 Cl 0.2216 0.5211 0.3273  1 Al 2.14
13 Cl 0.4205 0.1933 0.1733  1 Al 2.12
14 Cl 0.4595 0.9225 0.6134  1 Al 2.14
15 Cl 0.4789 0.7784 0.1727  1 Al 2.14
16 Cl 0.5211 0.2216 0.8273  1 Al 2.14
17 Cl 0.5405 0.0775 0.3866  1 Al 2.14
18 Cl 0.5795 0.8067 0.8267  1 Al 2.12
19 Cl 0.7784 0.4789 0.6727  1 Al 2.14
20 Cl 0.8067 0.5795 0.3267  1 Al 2.12
21 Cl 0.8467 0.1533 0.2500  2 Al 2.29
22 Cl 0.9225 0.4595 0.1134  1 Al 2.14

Values from the calculation:
Crystal system: monoclinic
Mass density (g/cm3): 1.91

---

# 10
The following is a DFT calculation (PBE-GGA) of an optimized crystal structure of AlInCl5.

Cell: 10.0610 9.2129 10.0821 Å, 90.00 90.00 90.00°
With the nearest neighbours (Å) after each atom.
Sites, in units of the cell vectors:
1 Al 0.1280 0.2500 0.1510  4 Cl 2.15-2.18
2 Al 0.3720 0.7500 0.6510  4 Cl 2.15-2.18
3 Al 0.6280 0.2500 0.3490  4 Cl 2.15-2.18
4 Al 0.8720 0.7500 0.8490  4 Cl 2.15-2.18
5 In 0.1242 0.7500 0.2416  2 Cl 2.57
6 In 0.3758 0.2500 0.7416  2 Cl 2.57
7 In 0.6242 0.7500 0.2584  2 Cl 2.57
8 In 0.8758 0.2500 0.7584  2 Cl 2.57
9 Cl 0.0562 0.7500 0.9621  1 Al 2.18
10 Cl 0.1243 0.2500 0.6998  2 In 2.57
11 Cl 0.1267 0.0639 0.2828  1 Al 2.17
12 Cl 0.1267 0.4361 0.2828  1 Al 2.17
13 Cl 0.1939 0.7500 0.5323  1 Al 2.15
14 Cl 0.3061 0.2500 0.0323  1 Al 2.15
15 Cl 0.3733 0.5639 0.7828  1 Al 2.17
16 Cl 0.3733 0.9361 0.7828  1 Al 2.17
17 Cl 0.3757 0.7500 0.1998  2 In 2.57
18 Cl 0.4438 0.2500 0.4621  1 Al 2.18
19 Cl 0.5562 0.7500 0.5379  1 Al 2.18
20 Cl 0.6243 0.2500 0.8002  2 In 2.57
21 Cl 0.6267 0.0639 0.2172  1 Al 2.17
22 Cl 0.6267 0.4361 0.2172  1 Al 2.17
23 Cl 0.6939 0.7500 0.9677  1 Al 2.15
24 Cl 0.8061 0.2500 0.4677  1 Al 2.15
25 Cl 0.8733 0.5639 0.7172  1 Al 2.17
26 Cl 0.8733 0.9361 0.7172  1 Al 2.17
27 Cl 0.8757 0.7500 0.3002  2 In 2.57
28 Cl 0.9438 0.2500 0.0379  1 Al 2.18

Values from the calculation:
Crystal system: orthorhombic
Mass density (g/cm3): 2.27

---

# 11
The following is a DFT calculation (PBE-GGA) of an optimized crystal structure of AlInCl2.

Cell: 5.2984 5.2984 5.2984 Å, 60.00 60.00 60.00°
With the nearest neighbours (Å) after each atom.
Sites, in units of the cell vectors:
1 Al 0.0000 0.0000 0.0000  8 Cl 3.24
2 In 0.5000 0.5000 0.5000  8 Cl 3.24
3 Cl 0.2500 0.2500 0.2500  4 In 3.24, 4 Al 3.24
4 Cl 0.7500 0.7500 0.7500  4 Al 3.24, 4 In 3.24

Values from the calculation:
Crystal system: cubic
Mass density (g/cm3): 3.36
Energy above the lowest structure with this stoichiometry (meV/atom): 244

---

# 12
The following is a DFT calculation (PBE-GGA) of an optimized crystal structure of AlInCl2.

Cell: 7.6315 7.6315 7.6315 Å, 154.22 142.03 46.46°
With the nearest neighbours (Å) after each atom.
Sites, in units of the cell vectors:
1 Al 0.0000 0.0000 0.0000  2 Cl 2.42
2 In 0.8204 0.3204 0.5000  2 Al 3.04, 2 Cl 3.06, 2 In 3.41
3 Cl 0.1231 0.6231 0.5000  2 Al 2.42
4 Cl 0.4475 0.4475 0.0000  2 In 3.06, 4 Al 3.10, 2 Cl 3.41

Values from the calculation:
Crystal system: orthorhombic
Mass density (g/cm3): 2.98
Energy above the lowest structure with this stoichiometry (meV/atom): 141

---

Table of total magnetic moment (μB/f.u.), in record order: 0.00; 0.00; 0.00; 1.00; 0.00; 0.00; 1.50; 9.00; 1.00; 0.00; 0.00; 0.00
Table of E_form (uncorrected) (meV per atom), in record order: -414; 565; 540; -78; -995; 179; 584; 1217; -1154; -1251; -478; -580